No. 1
The following is a PBE calculation of a relaxed structure of K2Cd2Br, from Alexandria.

* total magnetic moment: 0.00 μB per cell
* raw formation energy: -466 meV per atom
* N(E_F): 7.263 states/eV/cell
* DFT total energy: -1.6055 eV/atom

Unit cell a=8.8327 b=8.8327 c=5.7064 alpha=90.00 beta=90.00 gamma=90.00
With the nearest neighbours (Å) after each atom.
Positions (direct):
1 K 0.1865 0.3135 0.0000  2 Br 3.22
2 K 0.3135 0.8135 0.0000  2 Br 3.22
3 K 0.6865 0.1865 0.0000  2 Br 3.22
4 K 0.8135 0.6865 0.0000  2 Br 3.22
5 Cd 0.1219 0.6219 0.5000  1 Cd 3.05
6 Cd 0.3781 0.1219 0.5000  1 Cd 3.05
7 Cd 0.6219 0.8781 0.5000  1 Cd 3.05
8 Cd 0.8781 0.3781 0.5000  1 Cd 3.05
9 Br 0.0000 0.0000 0.0000  4 K 3.22
10 Br 0.5000 0.5000 0.0000  4 K 3.22

---

No. 2
The following is a PBE calculation of a relaxed structure of Pa2Tl2Te7, from Alexandria.

* polymorph energy (0 for the lowest one): 0.000 eV per atom
* total magnetic moment: 0.00 μB per cell
* raw formation energy: -548 meV per atom
* N(E_F): 5.164 states/eV/cell
* DFT total energy: -4.7042 eV/atom

Unit cell a=7.1031 b=7.1031 c=8.3287 alpha=90.00 beta=90.00 gamma=98.85
With the nearest neighbours (Å) after each atom.
Positions (direct):
1 Pa 0.2245 0.7755 0.0000  7 Te 2.97-3.10
2 Pa 0.7755 0.2245 0.0000  7 Te 2.97-3.10
3 Tl 0.2883 0.2883 0.5000  6 Te 3.48
4 Tl 0.7117 0.7117 0.5000  6 Te 3.48
5 Te 0.0000 0.0000 0.2319  2 Pa 3.10
6 Te 0.0000 0.0000 0.7681  2 Pa 3.10
7 Te 0.0000 0.5000 0.2398  2 Pa 3.07
8 Te 0.0000 0.5000 0.7602  2 Pa 3.07
9 Te 0.5000 0.0000 0.2398  2 Pa 3.07
10 Te 0.5000 0.0000 0.7602  2 Pa 3.07
11 Te 0.5000 0.5000 0.0000  2 Pa 2.97

---

No. 3
The following is a PBE calculation of a relaxed structure of AgI, from Alexandria.

* total magnetic moment: 0.00 μB per cell
* raw formation energy: -229 meV per atom
* N(E_F): 0.000 states/eV/cell
* DFT total energy: -2.4297 eV/atom

Unit cell a=4.6956 b=14.2236 c=6.6983 alpha=90.00 beta=90.00 gamma=90.00
With the nearest neighbours (Å) after each atom.
Positions (direct):
1 Ag 0.2500 0.1061 0.0042  4 I 2.82-3.10
2 Ag 0.2500 0.3939 0.0042  4 I 2.82-3.10
3 Ag 0.2500 0.7500 0.5323  4 I 2.87
4 Ag 0.7500 0.2500 0.4677  4 I 2.87
5 Ag 0.7500 0.6061 0.9958  4 I 2.82-3.10
6 Ag 0.7500 0.8939 0.9958  4 I 2.82-3.10
7 I 0.2500 0.2500 0.7140  4 Ag 2.82-2.87
8 I 0.2500 0.5807 0.7650  4 Ag 2.83-3.10
9 I 0.2500 0.9193 0.7650  4 Ag 2.83-3.10
10 I 0.7500 0.0807 0.2350  4 Ag 2.83-3.10
11 I 0.7500 0.4193 0.2350  4 Ag 2.83-3.10
12 I 0.7500 0.7500 0.2860  4 Ag 2.82-2.87

---

No. 4
The following is a PBE calculation of a relaxed structure of BaTh2OsN5, from Alexandria.

* total magnetic moment: 0.00 μB per cell
* raw formation energy: -920 meV per atom
* N(E_F): 7.797 states/eV/cell
* DFT total energy: -8.6555 eV/atom

Unit cell a=7.6938 b=7.6938 c=7.6938 alpha=125.85 beta=125.85 gamma=80.14
With the nearest neighbours (Å) after each atom.
Positions (direct):
1 Ba 0.2500 0.2500 0.0000  10 N 2.94-3.04
2 Ba 0.7500 0.7500 0.0000  10 N 2.94-3.04
3 Th 0.1863 0.6863 0.8726  4 N 2.38-2.56
4 Th 0.3137 0.1863 0.5000  4 N 2.38-2.56
5 Th 0.6863 0.8137 0.5000  4 N 2.38-2.56
6 Th 0.8137 0.3137 0.1274  4 N 2.38-2.56
7 Os 0.2500 0.7500 0.5000  4 N 1.91
8 Os 0.7500 0.2500 0.5000  4 N 1.91
9 N 0.0000 0.0000 0.0000  4 Th 2.56
10 N 0.0004 0.2289 0.5000  1 Os 1.91
11 N 0.9996 0.7711 0.5000  1 Os 1.91
12 N 0.2289 0.7289 0.2285  1 Os 1.91
13 N 0.2711 0.4996 0.5000  1 Os 1.91
14 N 0.4996 0.9996 0.2285  1 Os 1.91
15 N 0.5004 0.0004 0.7715  1 Os 1.91
16 N 0.5000 0.5000 0.0000  4 Th 2.56
17 N 0.7289 0.5004 0.5000  1 Os 1.91
18 N 0.7711 0.2711 0.7715  1 Os 1.91

---

Repeat the first record exactly.
The following is a PBE calculation of a relaxed structure of K2Cd2Br, from Alexandria.

* total magnetic moment: 0.00 μB per cell
* raw formation energy: -466 meV per atom
* N(E_F): 7.263 states/eV/cell
* DFT total energy: -1.6055 eV/atom

Unit cell a=8.8327 b=8.8327 c=5.7064 alpha=90.00 beta=90.00 gamma=90.00
With the nearest neighbours (Å) after each atom.
Positions (direct):
1 K 0.1865 0.3135 0.0000  2 Br 3.22
2 K 0.3135 0.8135 0.0000  2 Br 3.22
3 K 0.6865 0.1865 0.0000  2 Br 3.22
4 K 0.8135 0.6865 0.0000  2 Br 3.22
5 Cd 0.1219 0.6219 0.5000  1 Cd 3.05
6 Cd 0.3781 0.1219 0.5000  1 Cd 3.05
7 Cd 0.6219 0.8781 0.5000  1 Cd 3.05
8 Cd 0.8781 0.3781 0.5000  1 Cd 3.05
9 Br 0.0000 0.0000 0.0000  4 K 3.22
10 Br 0.5000 0.5000 0.0000  4 K 3.22